Material: La4GaHg3
Method: DFT, PBE
State: relaxed

Magnetization   0.73 μB per cell
E   -3.4751 eV per atom
Mass density   8.75 g cm⁻³
Density of states at the Fermi level   8.125 states/eV per cell
Space group   P4/mmm, No. 123

Structure (POSCAR):
```
La4GaHg3
1.0
3.863 0.000 0.000
0.000 3.863 0.000
0.000 0.000 15.615
La Ga Hg
4 1 3
Direct
0.000 0.000 0.115
0.000 0.000 0.372
0.000 0.000 0.628
0.000 0.000 0.885
0.500 0.500 0.000
0.500 0.500 0.244
0.500 0.500 0.500
0.500 0.500 0.756
```


Material: YTcOs2
Method: DFT, PBE
State: relaxed

Magnetization   0.00 μB per cell
Energy relative to the lowest polymorph listed for this composition   0.48 eV per formula unit
E   -9.5268 eV per atom
Mass density   13.41 g cm⁻³
Density of states at the Fermi level   4.347 states/eV per cell
Space group   Pmm2, No. 25

Structure (POSCAR):
```
YTcOs2
1.0
2.856 0.000 0.000
0.000 3.763 0.000
0.000 0.000 6.534
Y Tc Os
1 1 2
Direct
0.000 0.000 0.000
0.500 0.500 0.690
0.000 0.000 0.493
0.500 0.500 0.298
```


Material: La2PmThAs4
Method: DFT, PBE
State: relaxed

Magnetization   0.00 μB per cell
E   -6.6242 eV per atom
Mass density   7.01 g cm⁻³
Density of states at the Fermi level   1.772 states/eV per cell
Space group   P2/m, No. 10

Structure (POSCAR):
```
La2PmThAs4
1.0
7.445 0.000 0.000
0.000 4.307 0.000
-2.481 0.000 7.051
La Pm Th As
2 1 1 4
Direct
0.000 0.000 0.000
0.500 0.500 0.000
0.000 0.500 0.500
0.500 0.000 0.500
0.249 0.000 0.742
0.254 0.500 0.258
0.746 0.500 0.742
0.751 0.000 0.258
```


Material: Rb2BiC
Method: DFT, PBE
State: relaxed

Magnetization   0.00 μB per cell
Energy relative to the lowest polymorph listed for this composition   0.00 eV per formula unit
E   -2.9831 eV per atom
Mass density   3.33 g cm⁻³
Density of states at the Fermi level   4.911 states/eV per cell
Space group   I-42d, No. 122

Structure (POSCAR):
```
Rb2BiC
1.0
-6.446 6.446 2.352
6.446 -6.446 2.352
6.446 6.446 -2.352
Rb Bi C
4 2 2
Direct
0.375 0.162 0.287
0.838 0.125 0.213
0.875 0.088 0.713
0.912 0.625 0.787
0.250 0.750 0.500
0.500 0.500 0.000
0.000 0.000 0.000
0.750 0.250 0.500
```


> Which of these has the highest magnetization?

La4GaHg3